(1)
Density functional theory data (PBE) for a relaxed structure of HfAl2Mo.

Results
Total magnetization   0.01 μB/f.u.
Total DFT energy (no corrections)   -7.14 eV/atom
Volume   16.8 A^3/atom
SG   F-43m

a = 4.566 Å, b = 4.566 Å, c = 4.566 Å
α = 60.00°, β = 60.00°, γ = 60.00°
Element x y z (fractional)
Mo  0.250  0.250  0.250
Hf  0.500  0.500  0.500
Al  0.000  0.000  0.000
Al  0.750  0.750  0.750

(2)
Density functional theory data (PBE) for a relaxed structure of Hf2AlMo.

Results
Total magnetization   0.00 μB/f.u.
Total DFT energy (no corrections)   -8.93 eV/atom
Volume   18.7 A^3/atom
SG   P4/mmm

a = 3.416 Å, b = 3.416 Å, c = 6.408 Å
α = 90.00°, β = 90.00°, γ = 90.00°
Element x y z (fractional)
Al  0.500  0.500  0.500
Mo  0.500  0.500  0.000
Hf  0.000  0.000  0.762
Hf  0.000  0.000  0.238

(3)
Density functional theory data (PBE) for a relaxed structure of HfAlMo.

Results
Total magnetization   0.00 μB/f.u.
Total DFT energy (no corrections)   -8.22 eV/atom
Volume   18.1 A^3/atom
SG   Pnma

a = 6.459 Å, b = 3.868 Å, c = 8.709 Å
α = 90.00°, β = 90.00°, γ = 90.00°
Element x y z (fractional)
Mo  0.761  0.250  0.177
Mo  0.739  0.750  0.677
Mo  0.239  0.750  0.823
Mo  0.261  0.250  0.323
Hf  0.953  0.750  0.353
Hf  0.047  0.250  0.647
Hf  0.453  0.750  0.147
Hf  0.547  0.250  0.853
Al  0.863  0.750  0.974
Al  0.637  0.250  0.474
Al  0.363  0.750  0.526
Al  0.137  0.250  0.026

(4)
Density functional theory data (PBE) for a relaxed structure of Hf2AlMo.

Results
Total magnetization   0.02 μB/f.u.
Total DFT energy (no corrections)   -8.65 eV/atom
Volume   18.3 A^3/atom
SG   F-43m

a = 4.696 Å, b = 4.696 Å, c = 4.696 Å
α = 60.00°, β = 60.00°, γ = 60.00°
Element x y z (fractional)
Hf  0.000  0.000  0.000
Hf  0.750  0.750  0.750
Mo  0.250  0.250  0.250
Al  0.500  0.500  0.500

(5)
Density functional theory data (PBE) for a relaxed structure of HfAlMo.

Results
Total magnetization   0.00 μB/f.u.
Total DFT energy (no corrections)   -8.51 eV/atom
Volume   17.7 A^3/atom
SG   Imma

a = 5.314 Å, b = 5.314 Å, c = 5.314 Å
α = 120.32°, β = 119.89°, γ = 89.82°
Element x y z (fractional)
Mo  0.500  0.500  0.500
Mo  0.500  0.000  0.000
Al  0.500  0.500  0.000
Al  0.000  0.500  0.500
Hf  0.869  0.119  0.750
Hf  0.131  0.881  0.250

(6)
Density functional theory data (PBE) for a relaxed structure of HfAlMo.

Results
Total magnetization   0.25 μB/f.u.
Total DFT energy (no corrections)   -7.78 eV/atom
Volume   19.9 A^3/atom
SG   F-43m

a = 4.388 Å, b = 4.388 Å, c = 4.388 Å
α = 60.00°, β = 60.00°, γ = 60.00°
Element x y z (fractional)
Al  0.000  0.000  0.000
Mo  0.750  0.750  0.750
Hf  0.250  0.250  0.250